Record 1
Er11Al2Ge8 | SCAN | single point on PBEsol structure

abc: 10.8131 10.9586 10.8131
angles: 60.44 90.00 119.56
Closest atoms and distances in Å follow each position.
Positions (direct):
1 Er 0.8096 0.6193 0.4415  5 Ge 2.85-3.19
2 Er 0.3973 0.7947 0.9367  5 Ge 2.84-2.93, 2 Al 3.09
3 Er 0.6656 0.3312 0.3344  5 Ge 3.14-3.43, 4 Al 3.22
4 Er 0.9367 0.2053 0.3973  5 Ge 2.84-2.93, 2 Al 3.09
5 Er 0.7313 0.7947 0.6027  5 Ge 2.84-2.93, 2 Al 3.09
6 Er 0.1734 0.0000 0.1734  2 Ge 2.71
7 Er 0.2687 0.2053 0.3973  5 Ge 2.84-2.93, 2 Al 3.09
8 Er 0.5585 0.6193 0.1904  5 Ge 2.85-3.19
9 Er 0.1904 0.3807 0.0608  5 Ge 2.85-3.19
10 Er 0.4415 0.3807 0.8096  5 Ge 2.85-3.19
11 Er 0.6027 0.2053 0.7313  5 Ge 2.84-2.93, 2 Al 3.09
12 Er 0.3973 0.7947 0.2687  5 Ge 2.84-2.93, 2 Al 3.09
13 Er 0.0633 0.7947 0.6027  5 Ge 2.84-2.93, 2 Al 3.09
14 Er 0.8266 0.0000 0.8266  2 Ge 2.71
15 Er 0.8266 0.0000 0.1734  2 Ge 2.71
16 Er 0.1734 0.0000 0.8266  2 Ge 2.71
17 Er 0.1904 0.3807 0.5585  5 Ge 2.85-3.19
18 Er 0.6027 0.2053 0.0633  5 Ge 2.84-2.93, 2 Al 3.09
19 Er 0.0608 0.6193 0.1904  5 Ge 2.85-3.19
20 Er 0.9392 0.3807 0.8096  5 Ge 2.85-3.19
21 Er 0.3344 0.6688 0.6656  5 Ge 3.14-3.43, 4 Al 3.22
22 Er 0.8096 0.6193 0.9392  5 Ge 2.85-3.19
23 Ge 0.8842 0.7684 0.1158  8 Er 2.96-3.22
24 Ge 0.6458 0.0000 0.0000  6 Er 2.71-2.88
25 Ge 0.5327 0.6544 0.8783  1 Ge 2.78, 2 Er 2.84, 1 Al 2.98
26 Ge 0.1217 0.6544 0.4673  1 Ge 2.78, 2 Er 2.84, 1 Al 2.98
27 Ge 0.1217 0.6544 0.8783  1 Ge 2.78, 2 Er 2.84, 1 Al 2.98
28 Ge 0.5327 0.6544 0.4673  1 Ge 2.78, 2 Er 2.84, 1 Al 2.98
29 Ge 0.1158 0.2316 0.8842  8 Er 2.96-3.22
30 Ge 0.8783 0.3456 0.1217  1 Ge 2.78, 2 Er 2.84, 1 Al 2.98
31 Ge 0.0000 0.0000 0.3542  6 Er 2.71-2.88
32 Ge 0.0000 0.0000 0.6458  6 Er 2.71-2.88
33 Ge 0.3542 0.0000 0.0000  6 Er 2.71-2.88
34 Ge 0.4673 0.3456 0.1217  1 Ge 2.78, 2 Er 2.84, 1 Al 2.98
35 Ge 0.2500 0.5000 0.2500  8 Er 2.85-2.93
36 Ge 0.4673 0.3456 0.5327  1 Ge 2.78, 2 Er 2.84, 1 Al 2.98
37 Ge 0.8783 0.3456 0.5327  1 Ge 2.78, 2 Er 2.84, 1 Al 2.98
38 Ge 0.7500 0.5000 0.7500  8 Er 2.85-2.93
39 Al 0.6245 0.0000 0.3755  2 Al 2.69, 2 Ge 2.98
40 Al 0.3755 0.0000 0.3755  2 Al 2.69, 2 Ge 2.98
41 Al 0.6245 0.0000 0.6245  2 Al 2.69, 2 Ge 2.98
42 Al 0.3755 0.0000 0.6245  2 Al 2.69, 2 Ge 2.98


Record 2
Er5Al3Ni3Ge4 | SCAN | single point on PBEsol structure

abc: 4.1200 6.7789 18.8772
angles: 90.00 90.00 90.00
Closest atoms and distances in Å follow each position.
Positions (direct):
1 Ni 0.5000 0.7056 0.0000  6 Al 2.58-2.60, 3 Er 2.76-2.85
2 Ni 0.0000 0.3353 0.7757  4 Ge 2.40-2.50
3 Ni 0.5000 0.6647 0.2757  4 Ge 2.40-2.50
4 Ni 0.5000 0.6647 0.7243  4 Ge 2.40-2.50
5 Ni 0.0000 0.3353 0.2243  4 Ge 2.40-2.50
6 Ni 0.0000 0.2944 0.5000  6 Al 2.58-2.60, 3 Er 2.76-2.85
7 Er 0.0000 0.5049 0.6306  4 Ni 2.85-2.97, 4 Ge 2.87-2.92
8 Er 0.5000 0.4951 0.1306  4 Ni 2.85-2.97, 4 Ge 2.87-2.92
9 Er 0.5000 0.9996 0.1795  5 Ge 2.88-2.95, 3 Ni 2.91-3.18, 2 Al 3.14
10 Er 0.5000 0.4951 0.8694  4 Ni 2.85-2.97, 4 Ge 2.87-2.92
11 Er 0.5000 0.9996 0.8205  5 Ge 2.88-2.95, 3 Ni 2.91-3.18, 2 Al 3.14
12 Er 0.5000 0.1133 0.0000  1 Ni 2.76, 4 Ge 2.93
13 Er 0.0000 0.5049 0.3694  4 Ni 2.85-2.97, 4 Ge 2.87-2.92
14 Er 0.0000 0.0004 0.6795  5 Ge 2.88-2.95, 3 Ni 2.91-3.18, 2 Al 3.14
15 Er 0.0000 0.8867 0.5000  1 Ni 2.76, 4 Ge 2.93
16 Er 0.0000 0.0004 0.3205  5 Ge 2.88-2.95, 3 Ni 2.91-3.18, 2 Al 3.14
17 Al 0.5000 0.5282 0.5000  2 Ni 2.60, 2 Ge 2.66, 2 Al 2.70
18 Al 0.5000 0.1836 0.4278  2 Ni 2.58, 2 Al 2.70-2.73, 2 Ge 2.73-2.74
19 Al 0.0000 0.8164 0.0722  2 Ni 2.58, 2 Al 2.70-2.73, 2 Ge 2.73-2.74
20 Al 0.0000 0.8164 0.9278  2 Ni 2.58, 2 Al 2.70-2.73, 2 Ge 2.73-2.74
21 Al 0.5000 0.1836 0.5722  2 Ni 2.58, 2 Al 2.70-2.73, 2 Ge 2.73-2.74
22 Al 0.0000 0.4718 0.0000  2 Ni 2.60, 2 Ge 2.66, 2 Al 2.70
23 Ge 0.5000 0.2982 0.7115  3 Ni 2.40-2.50
24 Ge 0.5000 0.2982 0.2885  3 Ni 2.40-2.50
25 Ge 0.5000 0.7906 0.3955  1 Ni 2.42, 1 Al 2.66
26 Ge 0.0000 0.7018 0.7885  3 Ni 2.40-2.50
27 Ge 0.0000 0.7018 0.2115  3 Ni 2.40-2.50
28 Ge 0.5000 0.7906 0.6045  1 Ni 2.42, 1 Al 2.66
29 Ge 0.0000 0.2094 0.1045  1 Ni 2.42, 1 Al 2.66
30 Ge 0.0000 0.2094 0.8955  1 Ni 2.42, 1 Al 2.66


Number 1: E_tot -35.257 eV per atom, formation energy from the elements -18.4 eV per formula unit. Number 2: E_tot -27.524 eV per atom, formation energy from the elements -13.0 eV per formula unit.